Record 1
Compound: HfTiW
Source: Alexandria
Functional: PBE
Structure: relaxed

Properties
Space-group type   Imma
Formation enthalpy at 0 K   -0.015 eV per atom
Spin magnetization   0.000 μB per atom

Cell: 5.3714 5.3714 5.3714 Å, 90.86 121.39 117.66°
Positions (direct):
Ti 0.5000 0.0000 0.5000
Ti 0.0000 0.5000 0.5000
W 0.5000 0.5000 0.5000
W 0.0000 0.5000 0.0000
Hf 0.2500 0.1256 0.8756
Hf 0.7500 0.8744 0.1244

---

Record 2
Compound: CrBiSe2N
Source: Alexandria
Functional: PBE
Structure: relaxed

Properties
Raw formation energy   1.15 eV per atom
Space-group type   P4/mmm
Spin magnetization   0.549 μB per atom

Cell: 5.5341 5.5341 4.3487 Å, 90.00 90.00 90.00°
Last column: magnetic moment on the atom in μB.
Positions (direct):
Cr 0.5000 0.5000 0.5000  4.11
N 0.0000 0.0000 0.5000  -0.76
Se 0.5000 0.0000 0.0000  -0.28
Se 0.0000 0.5000 0.0000  -0.28
Bi 0.0000 0.0000 0.0000  0.05

---

Record 3
Compound: TbSmTm2
Source: Alexandria
Functional: PBE
Structure: relaxed

Properties
Space-group type   Fm-3m
Formation enthalpy at 0 K   0.118 eV per atom
Spin magnetization   0.000 μB per atom

Cell: 5.6465 5.6465 5.6465 Å, 60.00 60.00 60.00°
Positions (direct):
Tm 0.2500 0.2500 0.2500
Tm 0.7500 0.7500 0.7500
Tb 0.5000 0.5000 0.5000
Sm 0.0000 0.0000 0.0000

---

Record 4
Compound: Hf2OF
Source: Alexandria
Functional: PBE
Structure: relaxed

Properties
Raw formation energy   -1.00 eV per atom
Space-group type   Fm-3m
Spin magnetization   0.000 μB per atom

Cell: 4.2199 4.2199 4.2199 Å, 60.00 60.00 60.00°
Positions (direct):
Hf 0.2500 0.2500 0.2500
F 0.5000 0.5000 0.5000
Hf 0.7500 0.7500 0.7500
O 0.0000 0.0000 0.0000